(1)
A relaxed structure of AcLaTh2P4. Source: Alexandria, functional PBE-GGA.

Crystal system = monoclinic
DFT total energy = -7.23 eV per atom
Calculated volume = 216.32 Å³/cell
Energy of formation from the pure elements = -1.541 eV per atom
Total moment = 0.000 μB/f.u.

Cell lengths 7.3339, 4.2370, 7.3815 Å; angles 90.00, 109.42, 90.00 degrees
Last column: nearest neighbours and their distance in Å.
Space group P2/m (No. 10)
One atom of each set of equivalent atoms:
Ac (0.0000, 0.0000, 0.0000) [1 per cell]  6 P 3.08
La (0.5000, 0.5000, 0.0000) [1 per cell]  6 P 3.05
Th (0.0000, 0.5000, 0.5000) [1 per cell]  6 P 2.96
Th (0.5000, 0.0000, 0.5000) [1 per cell]  6 P 2.92
P (0.2491, 0.0000, 0.7359) [2 per cell]  3 Th 2.92-2.96, 2 La 3.05, 1 Ac 3.08
P (0.2595, 0.5000, 0.2675) [2 per cell]  3 Th 2.92-2.96, 1 La 3.05, 2 Ac 3.08

***

(2)
A relaxed structure of SrHg3N. Source: Alexandria, functional PBE-GGA.

Crystal system = cubic
DFT total energy = -1.69 eV per atom
Calculated volume = 124.64 Å³/cell
E_form (uncorrected) = 490 meV per atom
Total moment = 0.000 μB/f.u.

Cell lengths 4.9952, 4.9952, 4.9952 Å; angles 90.00, 90.00, 90.00 degrees
Last column: nearest neighbours and their distance in Å.
Space group Pm-3m (No. 221)
One atom of each set of equivalent atoms:
Sr (0.0000, 0.0000, 0.0000) [1 per cell]  12 Hg 3.53
Hg (0.0000, 0.5000, 0.5000) [3 per cell]  2 N 2.50
N (0.5000, 0.5000, 0.5000) [1 per cell]  6 Hg 2.50

***

Which value of calculated volume does entry 1 give?
216.32 Å³/cell